## La4CuIr2 (GGA-PBE)

Data for La4CuIr2 after structural relaxation.

Unit cell a=4.399 b=7.597 c=7.679 alpha=121.89 beta=106.64 gamma=90.00
Fractional coordinates of all 7 atoms:
Ir  0.216  0.210  0.432
Ir  0.784  0.790  0.568
Cu  0.000  0.000  0.000
La  0.151  0.511  0.302
La  0.849  0.489  0.698
La  0.379  0.088  0.759
La  0.621  0.912  0.241

space-group type = C2/m, No. 12
ΔH_f (0 K) = -540 meV/atom